Entry 1:
A plane-wave DFT calculation with PBE-GGA was carried out for Na3TlSb2 after structural relaxation.

The structure belongs to space group Ibam (No. 72); the cell edges are 7.219, 14.408 and 8.211 Å and the angles 90.00°, 90.00° and 90.00°. The asymmetric unit holds Na at (0.000, 0.000, 0.250), Na at (0.000, 0.266, 0.250), Tl at (0.000, 0.500, 0.000) and Sb at (0.230, 0.134, 0.000).

The value obtained for the spin magnetization is 0.00 μB per atom.

***

Entry 2:
A plane-wave DFT calculation with PBE-GGA was carried out for Na2Tl3Sb after structural relaxation.

The structure belongs to space group Pnma (No. 62); the cell edges are 7.101, 4.717 and 21.937 Å and the angles 90.00°, 90.00° and 90.00°. The asymmetric unit holds Na at (0.150, 0.250, 0.018), Na at (0.198, 0.750, 0.675), Tl at (0.020, 0.250, 0.560), Tl at (0.071, 0.750, 0.256), Tl at (0.233, 0.750, 0.861) and Sb at (0.062, 0.750, 0.110).

The value obtained for the spin magnetization is 0.00 μB per atom.

***

Entry 3:
A plane-wave DFT calculation with PBE-GGA was carried out for Na6TlSb2 after structural relaxation.

The structure belongs to space group P2_1/c (No. 14); the cell edges are 5.419, 9.485 and 11.379 Å and the angles 90.00°, 118.27° and 90.00°. The asymmetric unit holds Na at (0.080, 0.172, 0.080), Na at (0.311, 0.002, 0.811), Na at (0.408, 0.161, 0.407), Tl at (0.000, 0.000, 0.500) and Sb at (0.251, 0.669, 0.752).

The value obtained for the spin magnetization is 0.00 μB per atom.

***

Number 1: mass density 4.02 g/cm³, DFT total energy -2.661 eV/atom. Number 2: mass density 7.06 g/cm³, DFT total energy -2.459 eV/atom. Number 3: mass density 3.78 g/cm³, DFT total energy -2.344 eV/atom.